# Na2LaTl2

A geometry-optimized Na2LaTl2 structure (PBE-GGA, Alexandria).

Cell and atoms, written as POSCAR:
```
Na2LaTl2
1.0
-1.386 -2.924 8.141
-7.105 -4.318 -2.761
2.299 -3.280 -0.787
Tl Na La
4 4 2
direct
0.139 0.361 0.000
0.861 0.639 0.000
0.639 0.139 0.000
0.361 0.861 0.000
0.657 0.843 0.500
0.157 0.657 0.500
0.343 0.157 0.500
0.843 0.343 0.500
0.000 0.000 0.000
0.500 0.500 0.000
```

Values from the calculation:
Calculated density: 6.29 g/cm³
Formation energy: -0.0456 eV per atom
Crystal system: tetragonal
Symmetry: P4/mbm
E: -12.53 eV/f.u.